Entry 1:
A crystal of SbC relaxed with PBEsol. Source: Alexandria via LeMat-Bulk, functional meta-GGA SCAN.

Cell and atoms, written as POSCAR:
```
SbC
1.0
-1.641 4.979 2.840
1.641 -4.979 2.840
1.641 4.979 -2.840
Sb C
3 3
direct
0.000 0.000 0.000
0.382 0.051 0.332
0.719 0.051 0.668
0.122 0.432 0.690
0.606 0.606 0.000
0.742 0.432 0.310
```

Properties
The polymorph energy (0 for the lowest one) is 0 meV/atom. The symmetry is Imm2 (44).

Entry 2:
A crystal of Sb2C relaxed with PBEsol. Source: Alexandria via LeMat-Bulk, functional meta-GGA SCAN.

Cell and atoms, written as POSCAR:
```
Sb2C
1.0
4.918 0.000 0.000
-2.459 4.259 0.000
0.000 0.000 2.963
Sb C
2 1
direct
0.333 0.667 0.000
0.667 0.333 0.000
0.000 0.000 0.500
```

Properties
The polymorph energy (0 for the lowest one) is 961 meV/atom. The symmetry is P6/mmm (191).

Entry 3:
A crystal of Sb2C relaxed with PBEsol. Source: Alexandria via LeMat-Bulk, functional meta-GGA SCAN.

Cell and atoms, written as POSCAR:
```
Sb2C
1.0
-1.579 1.582 12.411
1.579 -1.582 12.411
1.579 1.582 -12.411
Sb C
4 2
direct
0.306 0.056 0.250
0.429 0.179 0.250
0.571 0.821 0.750
0.694 0.944 0.750
0.064 0.314 0.750
0.936 0.686 0.250
```

Properties
The polymorph energy (0 for the lowest one) is 149 meV/atom. The symmetry is Imma (74).

Entry 4:
A crystal of SbC2 relaxed with PBEsol. Source: Alexandria via LeMat-Bulk, functional meta-GGA SCAN.

Cell and atoms, written as POSCAR:
```
SbC2
1.0
0.000 2.701 2.701
2.701 0.000 2.701
2.701 2.701 0.000
Sb C
1 2
direct
0.000 0.000 0.000
0.250 0.250 0.250
0.750 0.750 0.750
```

Properties
The polymorph energy (0 for the lowest one) is 1725 meV/atom. The symmetry is Fm-3m (225).

Entry 5:
A crystal of ScSb3C relaxed with PBEsol. Source: Alexandria via LeMat-Bulk, functional meta-GGA SCAN.

Cell and atoms, written as POSCAR:
```
ScSb3C
1.0
4.721 0.000 0.000
0.000 4.721 0.000
0.000 0.000 4.721
Sc Sb C
1 3 1
direct
0.000 0.000 0.000
0.000 0.500 0.500
0.500 0.000 0.500
0.500 0.500 0.000
0.500 0.500 0.500
```

Properties
The symmetry is Pm-3m (221).

Entry 6:
A crystal of Sc2SbC relaxed with PBEsol. Source: Alexandria via LeMat-Bulk, functional meta-GGA SCAN.

Cell and atoms, written as POSCAR:
```
Sc2SbC
1.0
1.689 0.975 8.110
-1.689 0.975 8.110
0.000 -1.951 8.110
Sc Sb C
2 1 1
direct
0.119 0.119 0.119
0.881 0.881 0.881
0.000 0.000 0.000
0.500 0.500 0.500
```

Properties
The symmetry is R-3m (166).

Entry 7:
A crystal of ScSbC2 relaxed with PBEsol. Source: Alexandria via LeMat-Bulk, functional meta-GGA SCAN.

Cell and atoms, written as POSCAR:
```
ScSbC2
1.0
-2.619 2.619 4.593
2.619 -2.619 4.593
2.619 2.619 -4.593
Sc Sb C
2 2 4
direct
0.000 0.000 0.000
0.750 0.250 0.500
0.250 0.750 0.500
0.500 0.500 0.000
0.139 0.625 0.014
0.375 0.389 0.514
0.611 0.125 0.986
0.875 0.861 0.486
```

Properties
The symmetry is I-42d (122).

Entry 8:
A crystal of Sc2SbC relaxed with PBEsol. Source: Alexandria via LeMat-Bulk, functional meta-GGA SCAN.

Cell and atoms, written as POSCAR:
```
Sc2SbC
1.0
2.174 1.255 7.028
-2.174 1.255 7.028
0.000 -2.511 7.028
Sc Sb C
2 1 1
direct
0.095 0.095 0.095
0.905 0.905 0.905
0.500 0.500 0.500
0.000 0.000 0.000
```

Properties
The symmetry is R-3m (166).

Entry 9:
A crystal of ScSbTeC2 relaxed with PBEsol. Source: Alexandria via LeMat-Bulk, functional meta-GGA SCAN.

Cell and atoms, written as POSCAR:
```
ScSbTeC2
1.0
4.193 0.000 0.000
0.000 4.193 0.000
0.000 0.000 5.869
Sc Sb Te C
1 1 1 2
direct
0.000 0.000 0.000
0.500 0.500 0.500
0.500 0.500 0.000
0.000 0.500 0.500
0.500 0.000 0.500
```

Properties
The symmetry is P4/mmm (123).

Entry 10:
A crystal of Si2SbCSe relaxed with PBEsol. Source: Alexandria via LeMat-Bulk, functional meta-GGA SCAN.

Cell and atoms, written as POSCAR:
```
Si2SbCSe
1.0
4.097 0.000 0.000
0.000 4.097 0.000
0.000 0.000 5.119
Si Sb C Se
2 1 1 1
direct
0.000 0.500 0.000
0.500 0.000 0.000
0.000 0.000 0.500
0.000 0.000 0.000
0.500 0.500 0.500
```

Properties
The symmetry is P4/mmm (123).

Entry 11:
A crystal of Si2SbC relaxed with PBEsol. Source: Alexandria via LeMat-Bulk, functional meta-GGA SCAN.

Cell and atoms, written as POSCAR:
```
Si2SbC
1.0
-2.814 2.814 4.088
2.814 -2.814 4.088
2.814 2.814 -4.088
Si Sb C
4 2 2
direct
0.021 0.625 0.896
0.375 0.271 0.396
0.729 0.125 0.104
0.875 0.979 0.604
0.250 0.750 0.500
0.500 0.500 0.000
0.000 0.000 0.000
0.750 0.250 0.500
```

Properties
The symmetry is I-42d (122).

Entry 12:
A crystal of SnSb2TeC relaxed with PBEsol. Source: Alexandria via LeMat-Bulk, functional meta-GGA SCAN.

Cell and atoms, written as POSCAR:
```
SnSb2TeC
1.0
4.829 0.000 0.000
0.000 4.829 0.000
0.000 0.000 4.786
Sn Sb Te C
1 2 1 1
direct
0.000 0.000 0.000
0.000 0.500 0.500
0.500 0.000 0.500
0.500 0.500 0.000
0.500 0.500 0.500
```

Properties
The symmetry is P4/mmm (123).

Table of energy relative to the elements, uncorrected (eV/f.u.), in record order: 3.04; 6.40; 3.97; 8.16; 3.52; -2.08; 1.78; 1.49; 8.47; 5.62; 1.86; 4.90